## Be6CuIr5 (PBE)

Data for a relaxed structure of Be6CuIr5.

```
Be6CuIr5
1.0
-3.339 0.568 2.005
-2.368 2.267 -4.586
0.968 -6.735 -0.364
Ir Be Cu
5 6 1
Cartesian
-3.494 -0.383 -1.850
-2.253 -1.364 0.489
-1.184 1.133 -2.293
-1.246 -3.517 -1.095
-2.487 -2.535 -3.434
-2.307 0.894 -0.232
-2.433 -4.794 -2.713
-2.403 -0.142 -3.966
-1.261 -1.236 -1.753
-3.479 -2.664 -1.192
-2.336 -3.758 1.021
0.000 0.000 0.000
```

Computed properties:
Size of the total moment: 0.0 μB/f.u.
DOS at the Fermi energy: 6.48 states/eV per cell
Crystal system: monoclinic
Calculated total energy: -77.18 eV/cell
Mass density: 13.7 g/cm3
Symmetry: C2/m
Formation energy from the elements: -620.0 kJ/mol of formula units